(1)
La3Sc after structural relaxation. Source: Alexandria via LeMat-Bulk, functional PBEsol.

```
La3Sc
1.0
3.4991 -4.9535 0.0000
3.4991 4.9535 0.0000
0.0000 0.0000 3.5616
La Sc
3 1
direct
0.0000 0.0000 0.0000
0.0000 0.5000 0.5000
0.5000 0.0000 0.5000
0.5000 0.5000 0.0000
```

The space group is Cmmm (65). The calculated volume is 123.5 Å³/cell. Its total energy is -22.50 eV per cell.

***

(2)
TaFeSi after structural relaxation. Source: Alexandria via LeMat-Bulk, functional PBEsol.

```
TaFeSi
1.0
0.0000 2.8946 2.8946
2.8946 0.0000 2.8946
2.8946 2.8946 0.0000
Ta Fe Si
1 1 1
direct
0.0000 0.0000 0.0000
0.7500 0.7500 0.7500
0.2500 0.2500 0.2500
```

The space group is F-43m (216). The calculated volume is 48.5 Å³/cell. Its total energy is -26.03 eV per cell.

***

(3)
BaSc2Si after structural relaxation. Source: Alexandria via LeMat-Bulk, functional PBEsol.

```
BaSc2Si
1.0
-1.6720 2.8994 5.5174
1.6720 -2.8994 5.5174
1.6720 2.8994 -5.5174
Ba Sc Si
1 2 1
direct
0.0000 0.0000 0.0000
0.3082 0.8082 0.5000
0.6918 0.1918 0.5000
0.5000 0.5000 0.0000
```

The space group is Immm (71). The calculated volume is 107.0 Å³/cell. Its total energy is -21.57 eV per cell.

***

(4)
Rb2AgHg2 after structural relaxation. Source: Alexandria via LeMat-Bulk, functional PBEsol.

```
Rb2AgHg2
1.0
7.6771 0.0000 0.0000
0.0000 7.6771 0.0000
0.0000 0.0000 5.5180
Rb Ag Hg
4 2 4
direct
0.1766 0.3234 0.0000
0.3234 0.8234 0.0000
0.6766 0.1766 0.0000
0.8234 0.6766 0.0000
0.0000 0.0000 0.5000
0.5000 0.5000 0.5000
0.1385 0.6385 0.5000
0.3615 0.1385 0.5000
0.6385 0.8615 0.5000
0.8615 0.3615 0.5000
```

The space group is P4/mbm (127). The calculated volume is 325.2 Å³/cell. Its total energy is -13.63 eV per cell.

***

(5)
BeCrIn2 after structural relaxation. Source: Alexandria via LeMat-Bulk, functional PBEsol.

```
BeCrIn2
1.0
0.0000 3.2713 3.2713
3.2713 0.0000 3.2713
3.2713 3.2713 0.0000
Be Cr In
1 1 2
direct
0.0000 0.0000 0.0000
0.7500 0.7500 0.7500
0.2500 0.2500 0.2500
0.5000 0.5000 0.5000
```

The space group is F-43m (216). The calculated volume is 70.0 Å³/cell. Its total energy is -17.63 eV per cell.

***

(6)
Mn2AgSe after structural relaxation. Source: Alexandria via LeMat-Bulk, functional PBEsol.

```
Mn2AgSe
1.0
-2.0350 2.0350 3.8024
2.0350 -2.0350 3.8024
2.0350 2.0350 -3.8024
Mn Ag Se
2 1 1
direct
0.2500 0.7500 0.5000
0.7500 0.2500 0.5000
0.0000 0.0000 0.0000
0.5000 0.5000 0.0000
```

The space group is I4/mmm (139). The calculated volume is 63.0 Å³/cell. Its total energy is -25.25 eV per cell.

***

(7)
CsNaZr2Cd after structural relaxation. Source: Alexandria via LeMat-Bulk, functional PBEsol.

```
CsNaZr2Cd
1.0
5.2509 0.0000 0.0000
0.0000 5.2509 0.0000
0.0000 0.0000 5.9843
Cs Na Zr Cd
1 1 2 1
direct
0.0000 0.0000 0.0000
0.5000 0.5000 0.5000
0.0000 0.5000 0.0000
0.5000 0.0000 0.0000
0.0000 0.0000 0.5000
```

The space group is P4/mmm (123). The calculated volume is 165.0 Å³/cell. Its total energy is -13.14 eV per cell.

***

(8)
CaAgW2 after structural relaxation. Source: Alexandria via LeMat-Bulk, functional PBEsol.

```
CaAgW2
1.0
3.2593 0.0000 0.0000
0.0000 3.2593 0.0000
0.0000 0.0000 7.3592
Ca Ag W
1 1 2
direct
0.0000 0.0000 0.0000
0.5000 0.5000 0.7137
0.0000 0.0000 0.4669
0.5000 0.5000 0.3068
```

The space group is P4mm (99). The calculated volume is 78.2 Å³/cell. The polymorph energy (0 for the lowest one) comes out at 0 meV/atom.

***

(9)
Pr2Co3Ge5 after structural relaxation. Source: Alexandria via LeMat-Bulk, functional PBEsol.

```
Pr2Co3Ge5
1.0
-4.8527 5.8507 2.9143
4.8527 -5.8507 2.9143
4.8527 5.8507 -2.9143
Pr Co Ge
4 6 10
direct
0.1345 0.2362 0.3706
0.3655 0.7362 0.1017
0.6345 0.2638 0.8983
0.8655 0.7638 0.6294
0.1368 0.8926 0.0294
0.2500 0.7500 0.5000
0.3632 0.3926 0.7558
0.6368 0.6074 0.2442
0.7500 0.2500 0.5000
0.8632 0.1074 0.9706
0.0177 0.7500 0.2677
0.0971 0.6581 0.7552
0.2500 0.2500 0.0000
0.4029 0.1581 0.5609
0.4823 0.7500 0.7323
0.5177 0.2500 0.2677
0.5971 0.8419 0.4391
0.7500 0.7500 0.0000
0.9029 0.3419 0.2448
0.9823 0.2500 0.7323
```

The space group is Ibam (72). The calculated volume is 331.0 Å³/cell. Its total energy is -129.42 eV per cell.

***

(10)
SiAs2Os after structural relaxation. Source: Alexandria via LeMat-Bulk, functional PBEsol.

```
SiAs2Os
1.0
4.5621 0.0000 0.0000
0.0000 4.5621 0.0000
0.0000 0.0000 2.9255
Si As Os
1 2 1
direct
0.0000 0.0000 0.0000
0.0000 0.5000 0.5000
0.5000 0.0000 0.5000
0.5000 0.5000 0.0000
```

The space group is P4/mmm (123). The calculated volume is 60.9 Å³/cell. Its total energy is -25.84 eV per cell.

***

(11)
ScAlRe2 after structural relaxation. Source: Alexandria via LeMat-Bulk, functional PBEsol.

```
ScAlRe2
1.0
1.5964 -2.2214 0.0000
1.5964 2.2214 0.0000
0.0000 0.0000 8.6385
Sc Al Re
1 1 2
direct
0.0000 0.0000 0.0000
0.0000 0.0000 0.5000
0.5000 0.5000 0.2641
0.5000 0.5000 0.7359
```

The space group is Cmmm (65). The calculated volume is 61.3 Å³/cell. Its total energy is -37.51 eV per cell.

***

(12)
Zr2CdIr after structural relaxation. Source: Alexandria via LeMat-Bulk, functional PBEsol.

```
Zr2CdIr
1.0
3.2958 0.0000 0.0000
0.0000 3.2958 0.0000
0.0000 0.0000 7.0628
Zr Cd Ir
2 1 1
direct
0.0000 0.0000 0.2234
0.0000 0.0000 0.7766
0.5000 0.5000 0.5000
0.5000 0.5000 0.0000
```

The space group is P4/mmm (123). The calculated volume is 76.7 Å³/cell. Its total energy is -31.04 eV per cell.

***

(13)
RbTeS2 after structural relaxation. Source: Alexandria via LeMat-Bulk, functional PBEsol.

```
RbTeS2
1.0
-3.2195 3.2195 7.1701
3.2195 -3.2195 7.1701
3.2195 3.2195 -7.1701
Rb Te S
2 2 4
direct
0.0000 0.0000 0.0000
0.7500 0.2500 0.5000
0.2500 0.7500 0.5000
0.5000 0.5000 0.0000
0.2284 0.6250 0.1034
0.3750 0.4784 0.6034
0.5216 0.1250 0.8966
0.8750 0.7716 0.3966
```

The space group is I-42d (122). The calculated volume is 297.3 Å³/cell. Its total energy is -29.04 eV per cell.

***

(14)
MnO2 after structural relaxation. Source: Alexandria via LeMat-Bulk, functional PBEsol.

```
MnO2
1.0
1.4222 0.8211 5.2338
-1.4222 0.8211 5.2338
0.0000 -1.6423 5.2338
Mn O
1 2
direct
0.0000 0.0000 0.0000
0.3939 0.3939 0.3939
0.6061 0.6061 0.6061
```

The space group is R-3m (166). The calculated volume is 36.7 Å³/cell. Its total energy is -25.02 eV per cell.

***

(15)
IrRu2Au after structural relaxation. Source: Alexandria via LeMat-Bulk, functional PBEsol.

```
IrRu2Au
1.0
-1.9100 1.9100 3.9137
1.9100 -1.9100 3.9137
1.9100 1.9100 -3.9137
Ir Ru Au
1 2 1
direct
0.0000 0.0000 0.0000
0.5000 0.5000 0.0000
0.7500 0.2500 0.5000
0.2500 0.7500 0.5000
```

The space group is I-4m2 (119). The calculated volume is 57.1 Å³/cell. The polymorph energy (0 for the lowest one) comes out at 0 meV/atom.

***

(16)
CaCu3Sn4O12 after structural relaxation. Source: Alexandria via LeMat-Bulk, functional PBEsol.

```
CaCu3Sn4O12
1.0
-3.8358 3.8358 3.8358
3.8358 -3.8358 3.8358
3.8358 3.8358 -3.8358
Ca Cu Sn O
1 3 4 12
direct
0.0000 0.0000 0.0000
0.0000 0.5000 0.5000
0.5000 0.0000 0.5000
0.5000 0.5000 0.0000
0.0000 0.0000 0.5000
0.0000 0.5000 0.0000
0.5000 0.0000 0.0000
0.5000 0.5000 0.5000
0.1390 0.8312 0.3078
0.1688 0.3078 0.4767
0.1688 0.6922 0.8610
0.3078 0.1390 0.8312
0.3078 0.4767 0.1688
0.4767 0.1688 0.3078
0.5233 0.8312 0.6922
0.6922 0.5233 0.8312
0.6922 0.8610 0.1688
0.8312 0.3078 0.1390
0.8312 0.6922 0.5233
0.8610 0.1688 0.6922
```

The space group is Im-3 (204). The calculated volume is 225.8 Å³/cell. Its total energy is -124.24 eV per cell.

***

(17)
Sc2PCl after structural relaxation. Source: Alexandria via LeMat-Bulk, functional PBEsol.

```
Sc2PCl
1.0
3.6809 0.0000 0.0000
0.0000 3.6809 0.0000
0.0000 0.0000 5.1988
Sc P Cl
2 1 1
direct
0.0000 0.0000 0.0000
0.5000 0.5000 0.5000
0.0000 0.0000 0.5000
0.5000 0.5000 0.0000
```

The space group is P4/mmm (123). The calculated volume is 70.4 Å³/cell. Its total energy is -26.72 eV per cell.

***

(18)
HgPb2Br after structural relaxation. Source: Alexandria via LeMat-Bulk, functional PBEsol.

```
HgPb2Br
1.0
3.4665 -5.2418 0.0000
3.4665 5.2418 0.0000
-1.6037 0.0000 3.0745
Hg Pb Br
1 2 1
direct
0.0000 0.0000 0.0000
0.0000 0.5000 0.5000
0.5000 0.0000 0.5000
0.5000 0.5000 0.0000
```

The space group is C2/m (12). The calculated volume is 111.7 Å³/cell. Its total energy is -11.14 eV per cell.

***

(19)
BeHgPb2 after structural relaxation. Source: Alexandria via LeMat-Bulk, functional PBEsol.

```
BeHgPb2
1.0
3.3300 0.0000 0.0000
0.0000 3.3475 0.0000
-0.0372 0.0000 8.4669
Be Hg Pb
1 1 2
direct
0.0000 0.0000 0.0000
0.0000 0.0000 0.5000
0.4293 0.5000 0.2027
0.5707 0.5000 0.7973
```

The space group is P2/m (10). The calculated volume is 94.4 Å³/cell. Its total energy is -11.19 eV per cell.

***

(20)
GaCoP3 after structural relaxation. Source: Alexandria via LeMat-Bulk, functional PBEsol.

```
GaCoP3
1.0
4.3342 0.0000 0.0000
0.0000 4.3342 0.0000
0.0000 0.0000 4.3342
Ga Co P
1 1 3
direct
0.0000 0.0000 0.0000
0.5000 0.5000 0.5000
0.0000 0.5000 0.5000
0.5000 0.0000 0.5000
0.5000 0.5000 0.0000
```

The space group is Pm-3m (221). The calculated volume is 81.4 Å³/cell. Its total energy is -26.08 eV per cell.